{
  "formula": "NbMoAs2Se",
  "functional": "GGA-PBE",
  "state": "relaxed",
  "e_above_lowest_polymorph_mev_per_atom": 0,
  "formation_energy_uncorrected_kcal_per_mol_atoms": 18.19,
  "dft_energy_ev_per_atom": -5.95,
  "cell": [[4.834, 0.000, 0.000], [0.000, 4.834, 0.000], [0.000, 0.000, 4.962]],
  "species": ["Nb", "Mo", "As", "As", "Se"],
  "fractional_positions": [[0.000, 0.000, 0.000], [0.500, 0.500, 0.500], [0.000, 0.500, 0.500], [0.500, 0.000, 0.500], [0.500, 0.500, 0.000]]
}

=====

{
  "formula": "Tb3Ce2Dy6Tm",
  "functional": "GGA-PBE",
  "state": "relaxed",
  "e_form_ev_per_atom": 0.04,
  "dft_energy_ev_per_atom": -4.78,
  "cell": [[3.062, -5.303, 0.000], [3.062, 5.303, 0.000], [-2.042, 0.000, 11.540]],
  "species": ["Tb", "Tb", "Tb", "Ce", "Ce", "Dy", "Dy", "Dy", "Dy", "Dy", "Dy", "Tm"],
  "fractional_positions": [[0.000, 0.000, 0.000], [0.334, 0.666, 0.000], [0.666, 0.334, 0.000], [0.166, 0.834, 0.500], [0.834, 0.166, 0.500], [0.082, 0.417, 0.252], [0.248, 0.248, 0.748], [0.417, 0.082, 0.252], [0.583, 0.918, 0.748], [0.752, 0.752, 0.252], [0.918, 0.583, 0.748], [0.500, 0.500, 0.500]]
}

=====

{
  "formula": "Tb5CdGa2",
  "functional": "GGA-PBE",
  "state": "relaxed",
  "e_form_ev_per_atom": -0.39,
  "dft_energy_ev_per_atom": -4.16,
  "cell": [[-3.819, 3.819, 7.442], [3.819, -3.819, 7.442], [3.819, 3.819, -7.442]],
  "species": ["Tb", "Tb", "Tb", "Tb", "Tb", "Tb", "Tb", "Tb", "Tb", "Tb", "Cd", "Cd", "Ga", "Ga", "Ga", "Ga"],
  "fractional_positions": [[0.000, 0.000, 0.000], [0.026, 0.526, 0.841], [0.186, 0.026, 0.500], [0.314, 0.814, 0.841], [0.474, 0.314, 0.500], [0.500, 0.500, 0.000], [0.526, 0.686, 0.500], [0.686, 0.186, 0.159], [0.814, 0.974, 0.500], [0.974, 0.474, 0.159], [0.250, 0.250, 0.000], [0.750, 0.750, 0.000], [0.121, 0.379, 0.500], [0.379, 0.879, 0.258], [0.621, 0.121, 0.742], [0.879, 0.621, 0.500]]
}

=====

{
  "formula": "SrAl4Au",
  "functional": "GGA-PBE",
  "state": "relaxed",
  "e_form_ev_per_atom": -0.04,
  "dft_energy_ev_per_atom": -3.37,
  "cell": [[0.000, 3.980, 3.980], [3.980, 0.000, 3.980], [3.980, 3.980, 0.000]],
  "species": ["Sr", "Al", "Al", "Al", "Al", "Au"],
  "fractional_positions": [[0.000, 0.000, 0.000], [0.122, 0.626, 0.626], [0.626, 0.122, 0.626], [0.626, 0.626, 0.122], [0.626, 0.626, 0.626], [0.250, 0.250, 0.250]]
}

=====

{
  "formula": "LaAlSi2",
  "functional": "GGA-PBE",
  "state": "relaxed",
  "formation_energy_uncorrected_kcal_per_mol_atoms": -7.05,
  "dft_energy_ev_per_atom": -5.18,
  "cell": [[4.222, -1.936, 0.000], [4.222, 1.936, 0.000], [-1.750, 0.000, 5.196]],
  "species": ["La", "Al", "Si", "Si"],
  "fractional_positions": [[0.000, 0.000, 0.000], [0.775, 0.775, 0.363], [0.224, 0.224, 0.641], [0.501, 0.501, 0.508]]
}

=====

{
  "formula": "CrB2N",
  "functional": "GGA-PBE",
  "state": "relaxed",
  "e_above_lowest_polymorph_mev_per_atom": 0,
  "formation_energy_uncorrected_kcal_per_mol_atoms": 8.64,
  "dft_energy_ev_per_atom": -7.45,
  "cell": [[-2.439, 2.439, 2.613], [2.439, -2.439, 2.613], [2.439, 2.439, -2.613]],
  "species": ["Cr", "Cr", "B", "B", "B", "B", "N", "N"],
  "fractional_positions": [[0.000, 0.000, 0.000], [0.750, 0.250, 0.500], [0.224, 0.125, 0.599], [0.375, 0.776, 0.901], [0.526, 0.625, 0.401], [0.875, 0.474, 0.099], [0.250, 0.750, 0.500], [0.500, 0.500, 0.000]]
}

=====

{
  "formula": "HfZnRu3",
  "functional": "GGA-PBE",
  "state": "relaxed",
  "e_above_lowest_polymorph_mev_per_atom": 600,
  "e_form_ev_per_atom": 1.51,
  "dft_energy_ev_per_atom": -6.30,
  "cell": [[4.770, 0.000, 0.000], [0.000, 4.770, 0.000], [0.000, 0.000, 4.770]],
  "species": ["Hf", "Zn", "Ru", "Ru", "Ru"],
  "fractional_positions": [[0.000, 0.000, 0.000], [0.500, 0.500, 0.500], [0.000, 0.000, 0.500], [0.000, 0.500, 0.000], [0.500, 0.000, 0.000]]
}

=====

{
  "formula": "Al2CuHgBr",
  "functional": "GGA-PBE",
  "state": "relaxed",
  "formation_energy_uncorrected_kcal_per_mol_atoms": 17.72,
  "dft_energy_ev_per_atom": -1.94,
  "cell": [[5.588, 0.000, 0.000], [0.000, 5.588, 0.000], [0.000, 0.000, 4.652]],
  "species": ["Al", "Al", "Cu", "Hg", "Br"],
  "fractional_positions": [[0.000, 0.500, 0.000], [0.500, 0.000, 0.000], [0.000, 0.000, 0.500], [0.500, 0.500, 0.500], [0.000, 0.000, 0.000]]
}

=====

Table of total moment (μB per formula unit), in record order: 3.39; 1.85; 0.00; 0.00; 0.00; 0.00; 3.59; 0.00